(1)
Entry from Alexandria: BeMoIr after structural relaxation (GGA-PBE).

```
3
Lattice="4.062 0.000 0.000 2.031 3.518 0.000 2.031 1.173 3.317" Properties=species:S:1:pos:R:3 pbc="T T T"
Ir 6.093 3.518 2.488
Mo 0.000 0.000 0.000
Be 4.062 2.345 1.658
```

Results
* relative energy among the computed polymorphs: 126 kJ/mol of formula units
* formation energy from the elements: 0.08 eV/atom
* space group: F-43m, No. 216
* energy: -23.2 eV per formula unit

***

(2)
Entry from Alexandria: PaCdInCu after structural relaxation (GGA-PBE).

```
4
Lattice="-4.789 -0.235 1.239 -1.511 -3.219 3.446 -1.494 1.634 4.429" Properties=species:S:1:pos:R:3 pbc="T T T"
Pa 0.000 0.000 0.000
In -3.897 -0.910 4.558
Cu -1.948 -0.455 2.279
Cd -5.845 -1.365 6.837
```

Results
* formation energy from the elements: 0.12 eV/atom
* space group: F-43m, No. 216
* energy: -16.8 eV per formula unit

***

(3)
Entry from Alexandria: NpZn3 after structural relaxation (GGA-PBE).

```
4
Lattice="4.722 0.000 0.000 2.361 4.089 0.000 2.361 1.363 3.856" Properties=species:S:1:pos:R:3 pbc="T T T"
Zn 0.000 0.000 0.000
Zn 2.361 1.363 0.964
Zn 7.083 4.089 2.892
Np 4.722 2.726 1.928
```

Results
* formation energy from the elements: 0.14 eV/atom
* space group: Fm-3m, No. 225
* energy: -16.2 eV per formula unit

***

(4)
Entry from Alexandria: DyEr3Fe8 after structural relaxation (GGA-PBE).

```
12
Lattice="4.890 0.000 1.476 2.222 4.356 1.476 0.003 0.002 8.827" Properties=species:S:1:pos:R:3 pbc="T T T"
Dy 6.225 3.812 5.893
Fe 4.226 4.087 3.677
Fe 4.221 4.085 8.105
Fe 3.114 1.907 2.938
Fe 5.561 1.907 3.677
Fe 4.894 2.997 10.303
Fe 5.557 1.903 8.105
Fe 6.670 4.085 8.845
Fe 1.334 0.817 4.419
Er 0.004 0.002 8.825
Er 3.557 2.178 5.893
Er 2.670 1.635 8.830
```

Results
* formation energy from the elements: -0.11 eV/atom
* space group: R3m, No. 160
* energy: -87.3 eV per formula unit

***

(5)
Entry from Alexandria: LaCuPBr after structural relaxation (GGA-PBE).

```
8
Lattice="-0.815 4.059 0.122 -3.667 1.335 1.387 3.627 2.437 13.429" Properties=species:S:1:pos:R:3 pbc="T T T"
La -3.334 5.537 4.407
La 2.479 2.294 10.531
P 1.579 4.166 12.533
P -2.434 3.665 2.404
Br -1.228 5.800 9.721
Br 0.374 2.031 5.217
Cu 0.311 5.992 13.606
Cu -1.166 1.839 1.331
```

Results
* space group: R-3m, No. 166
* ΔE_f (raw): -1.234 eV per atom
* energy: -21.0 eV per formula unit

***

(6)
Entry from Alexandria: TmTeH2 after structural relaxation (GGA-PBE).

```
4
Lattice="3.593 0.000 0.000 1.796 3.111 0.000 1.796 1.037 5.387" Properties=species:S:1:pos:R:3 pbc="T T T"
H 1.796 1.037 0.416
H 5.389 3.111 4.971
Tm 0.000 0.000 0.000
Te 3.593 2.074 2.693
```

Results
* space group: R-3m, No. 166
* energy: -16.7 eV per formula unit

***

(7)
Entry from Alexandria: La3PdPt2 after structural relaxation (GGA-PBE).

```
12
Lattice="-5.509 0.750 4.937 1.732 -2.041 6.937 0.848 5.628 4.785" Properties=species:S:1:pos:R:3 pbc="T T T"
La 0.405 4.197 9.656
La -1.554 4.378 6.213
La -3.335 0.140 7.004
La 1.227 0.903 7.607
La -4.157 3.434 9.052
La -1.375 -0.042 10.446
Pd -1.465 2.168 8.330
Pd 0.000 0.000 0.000
Pt -1.947 2.882 11.071
Pt -0.983 1.455 5.588
Pt -0.482 0.714 2.742
Pt -2.447 3.623 13.918
```

Results
* formation energy from the elements: -1.03 eV/atom
* space group: R-3c, No. 167
* energy: -38.2 eV per formula unit

***

(8)
Entry from Alexandria: HoZnF5 after structural relaxation (GGA-PBE).

```
14
Lattice="-5.623 0.285 0.088 -1.872 -4.995 -1.803 -2.602 -3.955 5.882" Properties=species:S:1:pos:R:3 pbc="T T T"
F -6.120 -3.929 -0.510
F -4.252 -7.360 2.825
F -4.188 -5.111 1.542
F -3.230 -3.516 -1.011
F -6.867 -5.149 5.178
F -3.977 -4.736 4.678
F -5.909 -3.554 2.625
F -5.846 -1.306 1.343
F -7.216 -6.196 2.328
F -2.881 -2.470 1.840
Ho -4.598 -3.063 0.714
Ho -5.500 -5.603 3.454
Zn 0.000 0.000 0.000
Zn -1.301 -1.978 2.941
```

Results
* space group: C2/c, No. 15
* ΔE_f (raw): -3.343 eV per atom
* energy: -38.6 eV per formula unit

***

(9)
Entry from Alexandria: KMg2Si after structural relaxation (GGA-PBE).

```
4
Lattice="6.843 0.611 0.365 3.171 6.094 -0.365 -4.109 -4.693 2.901" Properties=species:S:1:pos:R:3 pbc="T T T"
Si 3.870 -0.365 1.633
Mg 5.587 3.741 0.000
Mg 9.433 6.317 0.000
K 2.034 2.377 1.268
```

Results
* space group: Immm, No. 71
* ΔE_f (raw): 0.224 eV per atom
* energy: -8.8 eV per formula unit

***

(10)
Entry from Alexandria: Fe4TcAg after structural relaxation (GGA-PBE).

```
6
Lattice="0.000 3.366 3.366 3.366 0.000 3.366 3.366 3.366 0.000" Properties=species:S:1:pos:R:3 pbc="T T T"
Fe 2.527 2.527 2.527
Fe 2.527 4.206 4.206
Fe 4.206 4.206 2.527
Fe 4.206 2.527 4.206
Ag 0.000 0.000 0.000
Tc 5.050 5.050 5.050
```

Results
* formation energy from the elements: 0.26 eV/atom
* space group: F-43m, No. 216
* energy: -45.5 eV per formula unit

***

(11)
Entry from Alexandria: InGa2C after structural relaxation (GGA-PBE).

```
8
Lattice="5.814 0.000 0.000 0.000 5.814 0.000 2.907 2.907 4.597" Properties=species:S:1:pos:R:3 pbc="T T T"
Ga 3.686 1.453 1.149
Ga 2.127 4.360 1.149
Ga 7.267 6.593 3.448
Ga 4.360 5.034 3.448
C 2.907 2.907 0.000
C 2.907 5.814 2.299
In 5.814 2.907 2.299
In 0.000 0.000 0.000
```

Results
* relative energy among the computed polymorphs: 0 kJ/mol of formula units
* formation energy from the elements: 0.50 eV/atom
* space group: I-42d, No. 122
* energy: -16.0 eV per formula unit

***

(12)
Entry from Alexandria: LaZn2GeRu2 after structural relaxation (GGA-PBE).

```
6
Lattice="-1.134 3.767 2.333 -2.797 -2.476 2.640 4.364 -0.980 3.704" Properties=species:S:1:pos:R:3 pbc="T T T"
Ru -0.567 1.884 1.166
Ru -1.398 -1.238 1.320
Zn -0.847 0.394 3.435
Zn 1.281 -0.083 5.241
La 2.182 -0.490 1.852
Ge 0.000 0.000 0.000
```

Results
* formation energy from the elements: -0.11 eV/atom
* space group: P4/mmm, No. 123
* energy: -31.3 eV per formula unit

***

(13)
Entry from Alexandria: Ca2Pr2Nd after structural relaxation (GGA-PBE).

```
5
Lattice="-2.302 -3.365 -2.409 4.129 -2.057 -1.072 -1.438 -2.120 8.990" Properties=species:S:1:pos:R:3 pbc="T T T"
Pr 0.820 -3.570 -0.451
Pr -0.431 -3.972 5.960
Ca -1.413 -4.098 2.420
Ca 1.802 -3.444 3.088
Nd 0.000 0.000 0.000
```

Results
* relative energy among the computed polymorphs: 152 kJ/mol of formula units
* formation energy from the elements: 0.34 eV/atom
* space group: I4/mmm, No. 139
* energy: -16.6 eV per formula unit

***

(14)
Entry from Alexandria: La3ZnGe after structural relaxation (GGA-PBE).

```
5
Lattice="5.757 0.000 0.000 0.000 5.757 0.000 0.000 0.000 5.757" Properties=species:S:1:pos:R:3 pbc="T T T"
La 2.879 0.000 0.000
La 0.000 0.000 2.879
La 0.000 2.879 0.000
Ge 0.000 0.000 0.000
Zn 2.879 2.879 2.879
```

Results
* relative energy among the computed polymorphs: 202 kJ/mol of formula units
* formation energy from the elements: -0.02 eV/atom
* space group: Pm-3m, No. 221
* energy: -20.8 eV per formula unit

***

(15)
Entry from Alexandria: KBaN2 after structural relaxation (GGA-PBE).

```
4
Lattice="-2.663 -3.509 -1.994 -4.617 0.836 -1.169 -1.302 0.298 -4.647" Properties=species:S:1:pos:R:3 pbc="T T T"
N -2.145 -0.594 -1.953
N -6.436 -1.781 -5.858
K 0.000 0.000 0.000
Ba -4.290 -1.187 -3.905
```

Results
* relative energy among the computed polymorphs: 0 kJ/mol of formula units
* space group: Fm-3m, No. 225
* ΔE_f (raw): 0.714 eV per atom
* energy: -16.8 eV per formula unit

***

(16)
Entry from Alexandria: TlVOs2 after structural relaxation (GGA-PBE).

```
8
Lattice="-7.110 -1.075 -1.348 1.601 -6.236 -3.476 -2.986 -4.989 -0.125" Properties=species:S:1:pos:R:3 pbc="T T T"
V -2.755 -3.655 -2.412
V -2.070 -7.440 -3.006
Tl 0.000 0.000 0.000
Tl -6.426 -4.859 -1.942
Os -1.059 -5.343 -2.453
Os -7.156 -9.766 -4.107
Os -4.566 -2.634 -1.228
Os -4.210 -6.856 -2.110
```

Results
* relative energy among the computed polymorphs: 114 kJ/mol of formula units
* formation energy from the elements: 0.88 eV/atom
* space group: I-42d, No. 122
* energy: -30.4 eV per formula unit

***

(17)
Entry from Alexandria: CeTmCuPb after structural relaxation (GGA-PBE).

```
4
Lattice="5.248 0.000 0.000 2.624 4.545 0.000 2.624 1.515 4.285" Properties=species:S:1:pos:R:3 pbc="T T T"
Cu 7.871 4.545 3.213
Pb 2.624 1.515 1.071
Tm 5.248 3.030 2.142
Ce 0.000 0.000 0.000
```

Results
* formation energy from the elements: -0.20 eV/atom
* space group: F-43m, No. 216
* energy: -19.0 eV per formula unit

***

(18)
Entry from Alexandria: HoGa9Rh2 after structural relaxation (GGA-PBE).

```
24
Lattice="-6.275 -1.978 0.780 -1.422 -3.605 7.556 -5.007 6.147 3.443" Properties=species:S:1:pos:R:3 pbc="T T T"
Ho -4.559 -4.594 7.946
Ho -4.783 0.776 5.695
Ga -10.964 -1.021 10.158
Ga -3.359 -2.717 5.701
Ga -7.921 -0.213 6.085
Ga -2.493 -0.635 4.005
Ga -5.629 4.452 5.616
Ga -3.413 -1.637 8.126
Ga -4.590 -1.904 3.047
Ga -9.661 1.372 7.705
Ga -1.422 -3.605 7.556
Ga -8.795 -0.945 8.669
Ga -5.929 -2.181 5.515
Ga -11.830 1.296 9.194
Ga -7.326 2.571 6.333
Ga -5.428 0.422 2.079
Ga -7.299 1.482 3.911
Ga -5.984 -1.101 7.940
Ga -3.330 1.691 3.038
Ga -5.602 3.363 3.195
Rh -7.098 -1.095 3.432
Rh -9.602 1.978 5.154
Rh -7.175 1.164 8.542
Rh -7.809 -2.898 7.211
```

Results
* formation energy from the elements: -0.35 eV/atom
* space group: Fddd, No. 70
* energy: -50.7 eV per formula unit

***

(19)
Entry from Alexandria: SrBeCl3 after structural relaxation (GGA-PBE).

```
5
Lattice="-0.667 3.517 3.078 -1.236 -3.131 3.310 4.508 -0.339 1.363" Properties=species:S:1:pos:R:3 pbc="T T T"
Sr 1.302 0.024 3.876
Cl -0.618 -1.566 1.655
Cl 2.254 -0.169 0.682
Cl -0.333 1.759 1.539
Be 0.000 0.000 0.000
```

Results
* relative energy among the computed polymorphs: 0 kJ/mol of formula units
* space group: Pm-3m, No. 221
* ΔE_f (raw): -1.208 eV per atom
* energy: -17.0 eV per formula unit

***

(20)
Entry from Alexandria: ReTeW2 after structural relaxation (GGA-PBE).

```
4
Lattice="4.204 0.000 0.000 0.000 3.061 0.016 0.000 3.006 5.419" Properties=species:S:1:pos:R:3 pbc="T T T"
Te 2.102 4.546 4.084
W 2.102 1.507 1.392
W 0.000 3.068 0.111
Re 0.000 3.039 2.581
```

Results
* space group: Pm, No. 6
* ΔE_f (raw): 0.683 eV per atom
* energy: -38.8 eV per formula unit

***

(21)
Entry from Alexandria: Zn5AgPt after structural relaxation (GGA-PBE).

```
14
Lattice="4.557 -0.760 -0.299 0.725 4.562 -0.299 1.003 0.722 10.653" Properties=species:S:1:pos:R:3 pbc="T T T"
Zn 5.473 2.213 9.002
Zn 0.811 2.311 1.054
Zn 3.334 4.127 3.675
Zn 1.526 5.036 7.691
Zn 3.056 4.003 0.823
Zn 5.267 1.989 6.150
Zn 2.951 0.397 6.380
Zn 3.229 0.521 9.232
Zn 4.759 -0.512 2.364
Zn 1.017 2.536 3.906
Pt 0.501 0.361 5.327
Pt 0.000 0.000 0.000
Ag 3.134 1.745 2.364
Ag 3.150 2.780 7.691
```

Results
* formation energy from the elements: -0.17 eV/atom
* space group: C2/c, No. 15
* energy: -16.5 eV per formula unit

***

(22)
Entry from Alexandria: ErZn2Cu8 after structural relaxation (GGA-PBE).

```
11
Lattice="4.802 0.000 0.000 0.000 4.802 0.000 0.000 0.000 8.424" Properties=species:S:1:pos:R:3 pbc="T T T"
Zn 0.000 2.401 0.000
Zn 2.401 0.000 0.000
Cu 1.191 3.611 1.919
Cu 1.191 1.191 1.919
Cu 3.611 3.611 6.505
Cu 3.611 3.611 1.919
Cu 3.611 1.191 6.505
Cu 1.191 1.191 6.505
Cu 1.191 3.611 6.505
Cu 3.611 1.191 1.919
Er 2.401 2.401 4.212
```

Results
* formation energy from the elements: 0.27 eV/atom
* space group: P4/mmm, No. 123
* energy: -36.9 eV per formula unit

***

(23)
Entry from Alexandria: LiBi2Pt2 after structural relaxation (GGA-PBE).

```
10
Lattice="-3.806 -5.266 4.612 0.895 -5.573 -5.624 3.065 -0.957 1.436" Properties=species:S:1:pos:R:3 pbc="T T T"
Bi -2.366 -4.355 2.145
Bi -0.299 -2.738 -1.186
Bi -2.612 -8.101 0.174
Bi -0.546 -6.484 -3.157
Li -1.456 -5.419 -0.506
Li 0.000 0.000 0.000
Pt -1.426 -7.040 2.658
Pt 0.276 -3.154 1.616
Pt 1.579 -4.756 -2.233
Pt -0.122 -8.642 -1.192
```

Results
* relative energy among the computed polymorphs: 87 kJ/mol of formula units
* formation energy from the elements: -0.16 eV/atom
* space group: P4/mbm, No. 127
* energy: -22.6 eV per formula unit

***

(24)
Entry from Alexandria: SmTm7Sc4 after structural relaxation (GGA-PBE).

```
12
Lattice="-2.363 2.096 6.137 1.988 -0.968 8.859 6.357 5.588 0.536" Properties=species:S:1:pos:R:3 pbc="T T T"
Tm 5.228 3.422 8.606
Tm 2.462 5.459 8.832
Tm 0.754 3.294 6.926
Tm 3.520 1.257 6.699
Tm -0.754 1.111 9.065
Tm 6.736 5.605 6.467
Tm -1.182 1.048 3.068
Sc 3.647 4.414 5.680
Sc 1.926 2.282 3.843
Sc 4.056 4.434 11.688
Sc 2.335 2.302 9.852
Sm 0.000 0.000 0.000
```

Results
* relative energy among the computed polymorphs: 0 kJ/mol of formula units
* formation energy from the elements: 0.02 eV/atom
* space group: P-1, No. 2
* energy: -61.1 eV per formula unit